The following is a DFT calculation (PBE) of crystalline Rb2YAlB at its relaxed geometry.

Cell and atoms, written as POSCAR:
```
Rb2YAlB
1.0
-4.1324 5.0213 2.3033
-0.8050 -2.1763 3.3002
5.3501 2.9208 3.2312
Y B Al Rb
1 1 1 2
Cartesian
0.2063 2.8829 4.4173
0.0000 0.0000 0.0000
-0.4025 -1.0882 1.6501
2.6750 1.4604 1.6156
-2.0662 2.5106 1.1516
```

Output
Spin magnetization   0.20 μB per atom
Density   2.57 Mg/m³
Calculated total energy   -2.844 eV/atom